[1]
Density functional theory data (PBE) for a relaxed HfNbAl2N crystal.

Values from the calculation:
Magnetic moment ... 2.1 μB/cell
Formation energy (no corrections) ... 1066 kJ/mol of formula units
Final energy ... -4.96 eV per atom
Space group ... P4/mmm, No. 123

Unit cell a=5.250 b=4.938 c=5.250 alpha=90.00 beta=90.00 gamma=90.00
Each line ends with the local moment (μB).
Atoms (fractional coordinates):
Nb  0.000  0.500  0.000  -0.05
Hf  0.000  0.000  0.000  0.05
Al  0.000  0.000  0.500  -0.01
Al  0.500  0.000  0.000  0.01
N  0.500  0.500  0.500  1.48

[2]
Density functional theory data (PBE) for a relaxed Hf2NbAlN crystal.

Values from the calculation:
Magnetic moment ... 0.0 μB/cell
Formation energy (no corrections) ... -331 kJ/mol of formula units
Final energy ... -9.09 eV per atom
Space group ... P4/mmm, No. 123

Unit cell a=4.465 b=4.465 c=4.186 alpha=90.00 beta=90.00 gamma=90.00
Atoms (fractional coordinates):
Hf  0.500  0.000  0.000
Hf  0.000  0.500  0.000
Nb  0.000  0.000  0.500
N  0.000  0.000  0.000
Al  0.500  0.500  0.500

[3]
Density functional theory data (PBE) for a relaxed HfPa2AlN5 crystal.

Values from the calculation:
Magnetic moment ... 0.0 μB/cell
Formation energy (no corrections) ... -1300 kJ/mol of formula units
Final energy ... -9.75 eV per atom
Space group ... Cmc2_1, No. 36

Unit cell a=3.300 b=6.949 c=10.061 alpha=90.00 beta=90.00 gamma=103.73
Atoms (fractional coordinates):
Al  0.512  0.023  0.977
Al  0.488  0.977  0.477
N  0.494  0.988  0.786
N  0.712  0.424  0.155
N  0.952  0.904  0.549
N  0.694  0.387  0.857
N  0.288  0.576  0.655
N  0.633  0.266  0.509
N  0.048  0.096  0.049
N  0.506  0.012  0.286
N  0.367  0.734  0.009
N  0.306  0.613  0.357
Pa  0.118  0.236  0.694
Pa  0.135  0.270  0.294
Pa  0.882  0.764  0.194
Pa  0.865  0.730  0.794
Hf  0.792  0.583  0.502
Hf  0.208  0.417  0.002

[4]
Density functional theory data (PBE) for a relaxed HfAlRuN2 crystal.

Values from the calculation:
Magnetic moment ... 2.8 μB/cell
Formation energy (no corrections) ... 418 kJ/mol of formula units
Final energy ... -7.06 eV per atom
Space group ... P4/mmm, No. 123

Unit cell a=4.068 b=5.296 c=4.068 alpha=90.00 beta=90.00 gamma=90.00
Each line ends with the local moment (μB).
Atoms (fractional coordinates):
N  0.500  0.000  0.000  0.51
N  0.000  0.000  0.500  0.69
Ru  0.000  0.500  0.000  1.31
Hf  0.000  0.000  0.000  -0.02
Al  0.500  0.500  0.500  -0.03

[5]
Density functional theory data (PBE) for a relaxed HfAlSN2 crystal.

Values from the calculation:
ΔE to the lowest computed polymorph ... 261 meV per atom
Magnetic moment ... 0.6 μB/cell
Formation energy (no corrections) ... 82 kJ/mol of formula units
Final energy ... -6.72 eV per atom
Space group ... P4/mmm, No. 123

Unit cell a=4.040 b=4.040 c=5.296 alpha=90.00 beta=90.00 gamma=90.00
Each line ends with the local moment (μB).
Atoms (fractional coordinates):
Hf  0.000  0.000  0.000  -0.03
S  0.000  0.000  0.500  0.01
N  0.000  0.500  0.000  0.22
N  0.500  0.000  0.000  0.22
Al  0.500  0.500  0.500  0.00

[6]
Density functional theory data (PBE) for a relaxed HfAlSN2 crystal.

Values from the calculation:
ΔE to the lowest computed polymorph ... 0 meV per atom
Magnetic moment ... 0.0 μB/cell
Formation energy (no corrections) ... -44 kJ/mol of formula units
Final energy ... -6.99 eV per atom
Space group ... P4/mmm, No. 123

Unit cell a=3.722 b=3.722 c=4.653 alpha=90.00 beta=90.00 gamma=90.00
Atoms (fractional coordinates):
Al  0.000  0.000  0.000
N  0.500  0.000  0.000
N  0.000  0.500  0.000
Hf  0.500  0.500  0.500
S  0.000  0.000  0.500

[7]
Density functional theory data (PBE) for a relaxed HfAlSeN2 crystal.

Values from the calculation:
ΔE to the lowest computed polymorph ... 22 meV per atom
Magnetic moment ... 0.5 μB/cell
Formation energy (no corrections) ... 83 kJ/mol of formula units
Final energy ... -6.59 eV per atom
Space group ... P4/mmm, No. 123

Unit cell a=4.064 b=4.064 c=5.605 alpha=90.00 beta=90.00 gamma=90.00
Each line ends with the local moment (μB).
Atoms (fractional coordinates):
Al  0.500  0.500  0.500  0.00
N  0.500  0.000  0.000  0.18
N  0.000  0.500  0.000  0.18
Hf  0.000  0.000  0.000  -0.02
Se  0.000  0.000  0.500  0.01

[8]
Density functional theory data (PBE) for a relaxed HfAlSeN2 crystal.

Values from the calculation:
ΔE to the lowest computed polymorph ... 0 meV per atom
Magnetic moment ... 0.0 μB/cell
Formation energy (no corrections) ... 72 kJ/mol of formula units
Final energy ... -6.62 eV per atom
Space group ... P4/mmm, No. 123

Unit cell a=3.788 b=3.788 c=4.894 alpha=90.00 beta=90.00 gamma=90.00
Atoms (fractional coordinates):
Se  0.000  0.000  0.500
N  0.500  0.000  0.000
N  0.000  0.500  0.000
Al  0.000  0.000  0.000
Hf  0.500  0.500  0.500